1.
This record from the Alexandria database describes a relaxed Cs7Te6As crystal. The functional is GGA-PBE.

```
28
Lattice="-4.838 8.679 9.828 4.838 -8.679 9.828 4.838 8.679 -9.828" Properties=species:S:1:pos:R:3 pbc="T T T"
Cs 2.246 0.424 0.000
Cs 6.415 3.681 -2.444
Cs 1.577 4.998 -2.444
Cs 0.000 0.000 4.914
Cs 6.415 3.681 2.444
Cs 1.577 4.998 2.444
Cs 2.246 -0.424 9.828
Cs 2.592 9.103 0.000
Cs 3.260 3.681 7.384
Cs -1.577 4.998 7.384
Cs 0.000 0.000 14.742
Cs 3.260 3.681 12.272
Cs -1.577 4.998 12.272
Cs 2.592 8.254 9.828
Te 6.396 -1.538 3.497
Te 4.346 -5.765 9.828
Te 3.279 -1.538 6.331
Te 3.279 1.538 3.497
Te 4.346 5.765 0.000
Te 6.396 1.538 6.331
Te -1.558 7.141 3.497
Te 0.492 2.914 9.828
Te 1.558 7.141 6.331
Te 1.558 10.217 3.497
Te 0.492 14.444 0.000
Te -1.558 10.217 6.331
As 4.838 0.000 4.914
As 0.000 8.679 4.914
```

E_tot	-2.88	eV per atom
total magnetic moment	0.000	μB/atom
symmetry	Ibam, No. 72
calculated volume	58.947	A^3/atom

2.
This record from the Alexandria database describes a relaxed ReSiO2F crystal. The functional is GGA-PBE.

```
5
Lattice="3.820 0.000 0.000 0.000 3.820 0.000 0.000 0.000 4.677" Properties=species:S:1:pos:R:3 pbc="T T T"
Re 0.000 0.000 0.000
Si 1.910 1.910 2.339
O 0.000 1.910 0.000
O 1.910 0.000 0.000
F 0.000 0.000 2.339
```

E_tot	-6.52	eV per atom
total magnetic moment	0.000	μB/atom
symmetry	P4/mmm, No. 123
calculated volume	13.647	A^3/atom

| no. | DOS at the Fermi energy (states/eV per cell) | uncorrected formation energy (meV per atom) |
| --- | --- | --- |
| 1 | 27.513 | -775.6 |
| 2 | 1.950 | -589.9 |